First-principles (GGA-PBE) data for a relaxed GdZrCSe crystal, as listed in OQMD via LeMat-Bulk.

Cell lengths 3.621, 3.621, 13.156 Å; angles 90.00, 90.00, 120.00 degrees
Atoms (fractional coordinates):
Gd 0.333 0.667 0.396
Gd 0.667 0.333 0.604
Zr 0.333 0.667 0.091
Zr 0.667 0.333 0.909
C 0.000 0.000 0.000
C 0.000 0.000 0.500
Se 0.333 0.667 0.767
Se 0.667 0.333 0.233

Summary:
Size of the total moment   0.00 μB/f.u.
Volume   149.37 Å³ per cell

First-principles (GGA-PBE) data for a relaxed PrHgPd crystal, as listed in OQMD via LeMat-Bulk.

Cell lengths 4.841, 4.841, 4.841 Å; angles 60.00, 60.00, 60.00 degrees
Atoms (fractional coordinates):
Pr 0.000 0.000 0.000
Hg 0.500 0.500 0.500
Pd 0.750 0.750 0.750

Summary:
ΔH_f (0 K)   -55.1 kJ/mol of atoms
Size of the total moment   0.01 μB/f.u.
Volume   80.21 Å³ per cell

| no. | energy above the lowest structure with this stoichiometry (meV/atom) |
| --- | --- |
| 1 | 22 |
| 2 | 0 |